<one>
Density functional theory data (SCAN) for a crystal of K2MoW relaxed with PBEsol.

Cell lengths 3.3001, 3.3001, 10.8808 Å; angles 90.90, 90.00, 90.00 degrees
Closest atoms and distances in Å follow each position.
Sites, in units of the cell vectors:
Mo 0.0000 0.0029 0.4230  4 W 2.55-2.56
K 0.0000 0.9822 0.0723  4 K 3.30, 4 W 3.62-3.63
W 0.5000 0.4970 0.3270  4 Mo 2.55-2.56
K 0.5000 0.5179 0.6776  4 K 3.30, 4 Mo 3.62

Output
N(E_F): 3.623 states/eV/cell
Magnetic moment: 0.008 μB/atom
Crystal system: monoclinic

=====

<two>
Density functional theory data (SCAN) for a crystal of K2MoW relaxed with PBEsol.

Cell lengths 3.7539, 3.7539, 6.0979 Å; angles 90.00, 90.00, 90.00 degrees
Closest atoms and distances in Å follow each position.
Sites, in units of the cell vectors:
W 0.0000 0.0000 0.5000  4 Mo 2.65
K 0.5000 0.0000 0.0000  4 K 2.65
K 0.0000 0.5000 0.0000  4 K 2.65
Mo 0.5000 0.5000 0.5000  4 W 2.65

Output
N(E_F): 5.087 states/eV/cell
Magnetic moment: 0.000 μB/atom
Crystal system: tetragonal

=====

On energetic grounds, <one> is preferred over the next structure by 710 meV/atom.

=====

<one>
Density functional theory data (SCAN) for a crystal of KYMo relaxed with PBEsol.

Cell lengths 2.9724, 4.4545, 7.0881 Å; angles 108.31, 102.10, 90.00 degrees
Closest atoms and distances in Å follow each position.
Sites, in units of the cell vectors:
Y 0.7142 0.7142 0.4284  4 Mo 2.89, 2 Y 2.97
K 0.9898 0.9898 0.9795  2 K 2.97
Mo 0.2960 0.2960 0.5921  4 Y 2.89, 2 Mo 2.97

Output
N(E_F): 2.235 states/eV/cell
Magnetic moment: 0.000 μB/atom
Crystal system: orthorhombic

=====

<two>
Density functional theory data (SCAN) for a crystal of KYMo relaxed with PBEsol.

Cell lengths 3.0487, 3.0487, 9.0081 Å; angles 99.74, 99.74, 90.00 degrees
Closest atoms and distances in Å follow each position.
Sites, in units of the cell vectors:
Mo 0.6828 0.6828 0.3655  4 Y 3.00, 4 Mo 3.05
Y 0.3020 0.3020 0.6041  4 Mo 3.00, 4 Y 3.05
K 0.0152 0.0152 0.0304  4 K 3.05

Output
N(E_F): 2.520 states/eV/cell
Magnetic moment: 0.000 μB/atom
Crystal system: tetragonal

=====

On energetic grounds, <two> is preferred over the next structure by 142 meV/atom.

=====

<one>
Density functional theory data (SCAN) for a crystal of KY2Mo relaxed with PBEsol.

Cell lengths 3.1138, 3.1138, 11.5911 Å; angles 90.00, 90.00, 90.00 degrees
Closest atoms and distances in Å follow each position.
Sites, in units of the cell vectors:
Y 0.5000 0.5000 0.2199  4 Y 3.11
Y 0.0000 0.0000 0.9634  4 Mo 3.03, 4 Y 3.11
K 0.0000 0.0000 0.5334  4 K 3.11
Mo 0.5000 0.5000 0.7834  4 Y 3.03, 4 Mo 3.11

Output
N(E_F): 3.805 states/eV/cell
Magnetic moment: 0.000 μB/atom
Crystal system: tetragonal

=====

<two>
Density functional theory data (SCAN) for a crystal of KY2Mo relaxed with PBEsol.

Cell lengths 3.1679, 3.1679, 11.6814 Å; angles 90.00, 90.00, 109.31 degrees
Closest atoms and distances in Å follow each position.
Sites, in units of the cell vectors:
Mo 0.5000 0.5000 0.2167  2 Y 2.77
Y 0.5000 0.5000 0.7783  4 Y 3.17
Y 0.0000 0.0000 0.0385  2 Mo 2.77
K 0.0000 0.0000 0.4665  4 K 3.17, 2 Mo 3.45

Output
N(E_F): 3.254 states/eV/cell
Magnetic moment: 0.001 μB/atom
Crystal system: orthorhombic

=====

On energetic grounds, <two> is preferred over the next structure by 29 meV/atom.

=====

<one>
Density functional theory data (SCAN) for a crystal of KTePtN2 relaxed with PBEsol.

Cell lengths 4.4421, 4.4421, 6.5949 Å; angles 90.00, 90.00, 90.00 degrees
Closest atoms and distances in Å follow each position.
Sites, in units of the cell vectors:
Pt 0.5000 0.5000 0.5000  4 Te 3.14
N 0.5000 0.0000 0.0000  2 K 2.22
Te 0.0000 0.0000 0.5000  4 Pt 3.14, 2 K 3.30
N 0.0000 0.5000 0.0000  2 K 2.22
K 0.0000 0.0000 0.0000  4 N 2.22

Output
N(E_F): 3.036 states/eV/cell
Magnetic moment: 1.195 μB/atom
Crystal system: tetragonal

=====

<two>
Density functional theory data (SCAN) for a crystal of KTePtN2 relaxed with PBEsol.

Cell lengths 4.1824, 4.1824, 5.5677 Å; angles 90.00, 90.00, 90.00 degrees
Closest atoms and distances in Å follow each position.
Sites, in units of the cell vectors:
Te 0.0000 0.0000 0.5000  2 Pt 2.78, 4 K 2.96
Pt 0.0000 0.0000 0.0000  4 N 2.09
K 0.5000 0.5000 0.5000  4 Te 2.96
N 0.0000 0.5000 0.0000  2 Pt 2.09
N 0.5000 0.0000 0.0000  2 Pt 2.09

Output
N(E_F): 2.230 states/eV/cell
Magnetic moment: 0.746 μB/atom
Crystal system: tetragonal

=====

On energetic grounds, <two> is preferred over the next structure by 1345 meV/atom.

=====

<one>
Density functional theory data (SCAN) for a crystal of KSiTe2N relaxed with PBEsol.

Cell lengths 4.6379, 5.8883, 5.8883 Å; angles 90.00, 90.00, 90.00 degrees
Closest atoms and distances in Å follow each position.
Sites, in units of the cell vectors:
Si 0.5000 0.5000 0.5000  8 Te 3.75, 4 N 4.16
Te 0.0000 0.0000 0.5000  2 K 2.94
N 0.5000 0.0000 0.0000  2 K 2.32
K 0.0000 0.0000 0.0000  2 N 2.32
Te 0.0000 0.5000 0.0000  2 K 2.94

Output
N(E_F): 2.961 states/eV/cell
Magnetic moment: 0.398 μB/atom
Crystal system: tetragonal

=====

<two>
Density functional theory data (SCAN) for a crystal of KSiTe2N relaxed with PBEsol.

Cell lengths 3.2399, 6.0393, 6.0393 Å; angles 90.00, 90.00, 90.00 degrees
Closest atoms and distances in Å follow each position.
Sites, in units of the cell vectors:
Si 0.0000 0.0000 0.0000  2 N 1.62
N 0.5000 0.0000 0.0000  2 Si 1.62
K 0.5000 0.5000 0.5000  2 K 3.24, 8 Te 3.43
Te 0.0000 0.5000 0.0000  2 Si 3.02, 2 Te 3.24
Te 0.0000 0.0000 0.5000  2 Si 3.02, 2 Te 3.24

Output
N(E_F): 2.117 states/eV/cell
Magnetic moment: 0.000 μB/atom
Crystal system: tetragonal

=====

On energetic grounds, <two> is preferred over the next structure by 1953 meV/atom.

=====

<one>
Density functional theory data (SCAN) for a crystal of K2NaP2 relaxed with PBEsol.

Cell lengths 4.8941, 7.5184, 7.5184 Å; angles 90.00, 90.00, 90.00 degrees
Closest atoms and distances in Å follow each position.
Sites, in units of the cell vectors:
K 0.5000 0.3224 0.1776  6 P 3.27-3.39
P 0.0000 0.8986 0.6014  1 P 2.16
K 0.5000 0.6776 0.8224  6 P 3.27-3.39
K 0.5000 0.1776 0.6776  6 P 3.27-3.39
P 0.0000 0.6014 0.1014  1 P 2.16
K 0.5000 0.8224 0.3224  6 P 3.27-3.39
P 0.0000 0.3986 0.8986  1 P 2.16
Na 0.0000 0.0000 0.0000  4 P 3.09
Na 0.0000 0.5000 0.5000  4 P 3.09
P 0.0000 0.1014 0.3986  1 P 2.16

Output
N(E_F): 7.415 states/eV/cell
Magnetic moment: 0.001 μB/atom
Crystal system: tetragonal

=====

<two>
Density functional theory data (SCAN) for a crystal of K2NaP2 relaxed with PBEsol.

Cell lengths 4.6942, 4.6942, 7.3118 Å; angles 108.72, 108.72, 90.00 degrees
Closest atoms and distances in Å follow each position.
Sites, in units of the cell vectors:
K 0.2500 0.7500 0.5000  4 P 3.21, 4 K 3.32
K 0.7500 0.2500 0.5000  4 P 3.21, 4 K 3.32
P 0.5819 0.5819 0.1638  1 P 2.13
P 0.4181 0.4181 0.8362  1 P 2.13
Na 0.0000 0.0000 0.0000  8 P 3.49

Output
N(E_F): 3.541 states/eV/cell
Magnetic moment: 0.001 μB/atom
Crystal system: tetragonal

=====

On energetic grounds, <one> is preferred over the next structure by 209 meV/atom.